Below is Ti12Mn5Pb3 after structural relaxation, with properties calculated at the PBE level.

Unit cell a=12.761 b=12.761 c=12.761 alpha=109.47 beta=109.47 gamma=109.47
Fractional coordinates of all 80 atoms:
1 Ti 0.305 0.410 0.824
2 Ti 0.176 0.085 0.980
3 Ti 0.980 0.395 0.305
4 Ti 0.410 0.105 0.585
5 Ti 0.020 0.605 0.695
6 Ti 0.105 0.695 0.520
7 Ti 0.176 0.090 0.695
8 Ti 0.590 0.695 0.676
9 Ti 0.105 0.410 0.085
10 Ti 0.090 0.176 0.195
11 Ti 0.590 0.895 0.415
12 Ti 0.195 0.520 0.605
13 Ti 0.585 0.605 0.410
14 Ti 0.520 0.195 0.105
15 Ti 0.805 0.480 0.395
16 Ti 0.085 0.910 0.105
17 Ti 0.895 0.305 0.480
18 Ti 0.480 0.676 0.085
19 Ti 0.910 0.824 0.805
20 Ti 0.676 0.480 0.585
21 Ti 0.415 0.020 0.324
22 Ti 0.824 0.915 0.020
23 Ti 0.805 0.324 0.910
24 Ti 0.085 0.176 0.480
25 Ti 0.305 0.895 0.980
26 Ti 0.020 0.415 0.824
27 Ti 0.910 0.085 0.605
28 Ti 0.585 0.980 0.676
29 Ti 0.395 0.415 0.090
30 Ti 0.605 0.020 0.195
31 Ti 0.195 0.676 0.090
32 Ti 0.915 0.824 0.520
33 Ti 0.824 0.910 0.305
34 Ti 0.090 0.915 0.395
35 Ti 0.520 0.324 0.915
36 Ti 0.324 0.520 0.415
37 Ti 0.695 0.105 0.020
38 Ti 0.695 0.590 0.176
39 Ti 0.395 0.980 0.805
40 Ti 0.676 0.195 0.590
41 Ti 0.480 0.805 0.895
42 Ti 0.410 0.305 0.324
43 Ti 0.895 0.590 0.915
44 Ti 0.324 0.805 0.410
45 Ti 0.980 0.585 0.176
46 Ti 0.915 0.090 0.895
47 Ti 0.415 0.395 0.590
48 Ti 0.605 0.585 0.910
49 Pb 0.875 0.125 0.250
50 Pb 0.625 0.375 0.750
51 Pb 0.125 0.875 0.750
52 Pb 0.250 0.625 0.875
53 Pb 0.625 0.250 0.375
54 Pb 0.250 0.125 0.375
55 Pb 0.375 0.625 0.250
56 Pb 0.125 0.250 0.875
57 Pb 0.375 0.750 0.625
58 Pb 0.750 0.375 0.125
59 Pb 0.750 0.875 0.625
60 Pb 0.875 0.750 0.125
61 Mn 0.000 0.500 0.500
62 Mn 0.250 0.875 0.125
63 Mn 0.500 0.000 0.000
64 Mn 0.500 0.500 0.000
65 Mn 0.875 0.250 0.625
66 Mn 0.750 0.125 0.875
67 Mn 0.125 0.750 0.375
68 Mn 0.875 0.625 0.750
69 Mn 0.000 0.500 0.000
70 Mn 0.000 0.000 0.500
71 Mn 0.000 0.000 0.000
72 Mn 0.625 0.750 0.875
73 Mn 0.125 0.375 0.250
74 Mn 0.750 0.625 0.375
75 Mn 0.500 0.500 0.500
76 Mn 0.375 0.250 0.125
77 Mn 0.250 0.375 0.625
78 Mn 0.375 0.125 0.750
79 Mn 0.500 0.000 0.500
80 Mn 0.625 0.875 0.250

Results
**Energy of formation from the pure elements**: 0.645 eV/atom
**Space-group type**: Ia-3d (230)